1.
First-principles (GGA-PBE) data for a relaxed structure of TaNb5C3, as listed in the Alexandria database.

```
TaNb5C3
1.0
4.874 -3.673 0.000
4.874 3.673 0.000
-3.357 0.000 7.261
Ta Nb C
2 10 6
Direct
0.097 0.097 0.302
0.903 0.903 0.698
0.037 0.628 0.334
0.235 0.235 0.030
0.295 0.705 0.000
0.372 0.963 0.666
0.432 0.432 0.636
0.568 0.568 0.364
0.628 0.037 0.334
0.705 0.295 0.000
0.765 0.765 0.970
0.963 0.372 0.666
0.000 0.000 0.000
0.000 0.000 0.500
0.332 0.332 0.333
0.334 0.334 0.834
0.666 0.666 0.166
0.668 0.668 0.667
```

Summary:
E = -0.765 Ry/atom
calculated formation energy = -40.9 kJ per mole of atoms
magnetic moment = 0.0 μB per formula unit
volume = 260.0 Å³ per cell
DOS(E_F) = 9.08 states/eV per cell
space group = C2/m

2.
First-principles (GGA-PBE) data for a relaxed structure of Li3Tb3TiSe8, as listed in the Alexandria database.

```
Li3Tb3TiSe8
1.0
4.014 2.317 6.483
-4.014 2.317 6.483
0.000 -4.635 6.483
Li Tb Ti Se
3 3 1 8
Direct
0.000 0.500 0.500
0.500 0.000 0.500
0.500 0.500 0.000
0.000 0.000 0.500
0.000 0.500 0.000
0.500 0.000 0.000
0.500 0.500 0.500
0.253 0.253 0.253
0.267 0.267 0.726
0.267 0.726 0.267
0.274 0.733 0.733
0.726 0.267 0.267
0.733 0.274 0.733
0.733 0.733 0.274
0.747 0.747 0.747
```

Summary:
E = -0.385 Ry/atom
raw formation energy = -1.55 eV/atom
magnetic moment = 0.0 μB per formula unit
volume = 361.9 Å³ per cell
space group = R-3m

3.
First-principles (GGA-PBE) data for a relaxed structure of KHgOs2, as listed in the Alexandria database.

```
KHgOs2
1.0
3.578 0.000 0.000
0.000 3.578 0.000
0.000 0.000 7.417
K Hg Os
1 1 2
Direct
0.000 0.000 0.000
0.000 0.000 0.500
0.500 0.500 0.340
0.500 0.500 0.660
```

Summary:
E = -0.318 Ry/atom
calculated formation energy = 158.4 kJ per mole of atoms
magnetic moment = 0.8 μB per formula unit
volume = 94.9 Å³ per cell
DOS(E_F) = 6.10 states/eV per cell
space group = P4/mmm

4.
First-principles (GGA-PBE) data for a relaxed structure of Al2ReSb, as listed in the Alexandria database.

```
Al2ReSb
1.0
0.000 3.249 3.249
3.249 0.000 3.249
3.249 3.249 0.000
Al Re Sb
2 1 1
Direct
0.000 0.000 0.000
0.250 0.250 0.250
0.500 0.500 0.500
0.750 0.750 0.750
```

Summary:
E = -0.412 Ry/atom
raw formation energy = 0.41 eV/atom
magnetic moment = 0.0 μB per formula unit
volume = 68.6 Å³ per cell
DOS(E_F) = 3.10 states/eV per cell
space group = F-43m

5.
First-principles (GGA-PBE) data for a relaxed structure of Ba2Cd2Pd, as listed in the Alexandria database.

```
Ba2Cd2Pd
1.0
4.569 0.000 0.000
2.283 6.190 0.000
2.279 1.289 11.754
Ba Cd Pd
4 4 2
Direct
0.005 0.148 0.341
0.193 0.242 0.874
0.807 0.758 0.126
0.995 0.852 0.659
0.311 0.323 0.554
0.480 0.658 0.885
0.520 0.342 0.115
0.689 0.677 0.446
0.311 0.556 0.321
0.689 0.444 0.679
```

Summary:
E = -0.191 Ry/atom
calculated formation energy = -41.4 kJ per mole of atoms
distance to the lowest polymorph of the same formula = 0.0 kJ/mol of formula units
magnetic moment = 0.0 μB per formula unit
volume = 332.4 Å³ per cell
DOS(E_F) = 7.35 states/eV per cell
space group = P-1

6.
First-principles (GGA-PBE) data for a relaxed structure of SrTeAs2Se, as listed in the Alexandria database.

```
SrTeAs2Se
1.0
5.764 0.000 0.000
0.000 5.764 0.000
0.000 0.000 5.526
Sr Te As Se
1 1 2 1
Direct
0.000 0.000 0.000
0.500 0.500 0.500
0.000 0.500 0.000
0.500 0.000 0.000
0.000 0.000 0.500
```

Summary:
E = -0.198 Ry/atom
raw formation energy = 0.82 eV/atom
distance to the lowest polymorph of the same formula = 407.0 kJ/mol of formula units
magnetic moment = 0.4 μB per formula unit
volume = 183.6 Å³ per cell
DOS(E_F) = 8.86 states/eV per cell
space group = P4/mmm

7.
First-principles (GGA-PBE) data for a relaxed structure of ScGe2Br, as listed in the Alexandria database.

```
ScGe2Br
1.0
0.000 3.531 3.531
3.531 0.000 3.531
3.531 3.531 0.000
Sc Ge Br
1 2 1
Direct
0.000 0.000 0.000
0.250 0.250 0.250
0.750 0.750 0.750
0.500 0.500 0.500
```

Summary:
E = -0.300 Ry/atom
raw formation energy = 0.22 eV/atom
distance to the lowest polymorph of the same formula = 171.8 kJ/mol of formula units
magnetic moment = 0.0 μB per formula unit
volume = 88.0 Å³ per cell
DOS(E_F) = 3.44 states/eV per cell
space group = Fm-3m

8.
First-principles (GGA-PBE) data for a relaxed structure of As2OsPt, as listed in the Alexandria database.

```
As2OsPt
1.0
1.441 -2.465 0.000
1.441 2.465 0.000
0.000 0.000 10.078
As Os Pt
2 1 1
Direct
0.000 0.000 0.000
0.500 0.500 0.346
0.500 0.500 0.798
0.000 0.000 0.561
```

Summary:
E = -0.463 Ry/atom
calculated formation energy = 33.0 kJ per mole of atoms
distance to the lowest polymorph of the same formula = 94.7 kJ/mol of formula units
magnetic moment = 0.0 μB per formula unit
volume = 71.6 Å³ per cell
DOS(E_F) = 3.61 states/eV per cell
space group = Cmm2

9.
First-principles (GGA-PBE) data for a relaxed structure of Rb3H4Br4, as listed in the Alexandria database.

```
Rb3H4Br4
1.0
-2.800 3.729 8.817
2.800 -3.729 8.817
2.800 3.729 -8.817
Rb H Br
3 4 4
Direct
0.000 0.000 0.000
0.297 0.797 0.500
0.703 0.203 0.500
0.202 0.403 0.798
0.395 0.597 0.798
0.605 0.403 0.202
0.798 0.597 0.202
0.191 0.191 0.000
0.279 0.500 0.779
0.721 0.500 0.221
0.809 0.809 0.000
```

Summary:
E = -0.187 Ry/atom
magnetic moment = 1.0 μB per formula unit
volume = 368.2 Å³ per cell
DOS(E_F) = 0.36 states/eV per cell
space group = Immm

10.
First-principles (GGA-PBE) data for a relaxed structure of Tb6Y19Ho4, as listed in the Alexandria database.

```
Tb6Y19Ho4
1.0
-6.230 6.230 6.230
6.230 -6.230 6.230
6.230 6.230 -6.230
Tb Y Ho
6 19 4
Direct
0.124 0.500 0.624
0.376 0.876 0.500
0.500 0.376 0.876
0.500 0.624 0.124
0.624 0.124 0.500
0.876 0.500 0.376
0.000 0.000 0.000
0.000 0.259 0.259
0.000 0.741 0.741
0.016 0.218 0.674
0.202 0.984 0.658
0.218 0.674 0.016
0.259 0.000 0.259
0.259 0.259 0.000
0.326 0.544 0.342
0.342 0.326 0.544
0.456 0.782 0.798
0.544 0.342 0.326
0.658 0.202 0.984
0.674 0.016 0.218
0.741 0.000 0.741
0.741 0.741 0.000
0.782 0.798 0.456
0.798 0.456 0.782
0.984 0.658 0.202
0.000 0.000 0.358
0.000 0.358 0.000
0.358 0.000 0.000
0.642 0.642 0.642
```

Summary:
E = -0.400 Ry/atom
calculated formation energy = 36.5 kJ per mole of atoms
magnetic moment = 0.0 μB per formula unit
volume = 967.0 Å³ per cell
DOS(E_F) = 43.08 states/eV per cell
space group = I23

11.
First-principles (GGA-PBE) data for a relaxed structure of GdTaRh2, as listed in the Alexandria database.

```
GdTaRh2
1.0
4.875 0.000 0.000
0.000 4.875 0.000
0.000 0.000 3.042
Gd Ta Rh
1 1 2
Direct
0.000 0.000 0.000
0.500 0.500 0.000
0.000 0.500 0.500
0.500 0.000 0.500
```

Summary:
E = -0.780 Ry/atom
calculated formation energy = -43.2 kJ per mole of atoms
distance to the lowest polymorph of the same formula = 49.5 kJ/mol of formula units
magnetic moment = 7.0 μB per formula unit
volume = 72.3 Å³ per cell
DOS(E_F) = 4.31 states/eV per cell
space group = P4/mmm

12.
First-principles (GGA-PBE) data for a relaxed structure of Cr3Rh, as listed in the Alexandria database.

```
Cr3Rh
1.0
-1.836 1.836 7.379
1.836 -1.836 7.379
1.836 1.836 -7.379
Cr Rh
6 2
Direct
0.000 0.500 0.500
0.118 0.118 0.000
0.250 0.750 0.500
0.500 0.000 0.500
0.750 0.250 0.500
0.882 0.882 0.000
0.374 0.374 0.000
0.626 0.626 0.000
```

Summary:
E = -0.656 Ry/atom
calculated formation energy = 13.0 kJ per mole of atoms
distance to the lowest polymorph of the same formula = 35.6 kJ/mol of formula units
magnetic moment = 0.0 μB per formula unit
volume = 99.4 Å³ per cell
DOS(E_F) = 9.78 states/eV per cell
space group = I4/mmm